Here is a relaxed KPCl2 crystal from Alexandria. Energies are from PBE.

Geometry as POSCAR:
```
KPCl2
1.0
4.334 0.000 0.000
0.000 6.920 0.000
0.000 0.000 3.762
Cl K P
2 1 1
Direct
0.000 0.000 0.000
0.500 0.500 0.000
0.500 0.000 0.500
0.000 0.500 0.500
```

Output
* excess energy over the best structure of this formula in the dataset: 0.302 eV/atom
* calculated volume: 113 Å³/f.u.
* DFT total energy: -2.89 eV/atom
* uncorrected formation energy: -0.339 eV/atom

---

Here is a relaxed KPCl2 crystal from Alexandria. Energies are from PBE.

Geometry as POSCAR:
```
KPCl2
1.0
-0.630 4.817 -3.255
0.045 -1.719 -5.589
-2.980 -0.496 5.007
Cl K P
2 1 1
Direct
0.070 0.070 0.000
0.430 0.430 0.000
0.750 0.250 0.500
0.250 0.750 0.500
```

Output
* excess energy over the best structure of this formula in the dataset: 0.027 eV/atom
* calculated volume: 103 Å³/f.u.
* DFT total energy: -3.17 eV/atom
* uncorrected formation energy: -0.615 eV/atom

---

Here is a relaxed KPCl6 crystal from Alexandria. Energies are from PBE.

Geometry as POSCAR:
```
KPCl6
1.0
-4.117 -4.810 -2.024
0.445 -6.099 2.661
-5.138 -2.042 4.486
K P Cl
1 1 6
Direct
0.500 0.500 0.500
0.000 0.000 0.000
0.981 0.368 0.791
0.854 0.981 0.795
0.633 0.143 0.208
0.146 0.019 0.205
0.019 0.632 0.209
0.367 0.857 0.792
```

Output
* excess energy over the best structure of this formula in the dataset: 0.000 eV/atom
* calculated volume: 231 Å³/f.u.
* DFT total energy: -3.07 eV/atom
* uncorrected formation energy: -0.873 eV/atom

---

Here is a relaxed KP2Cl crystal from Alexandria. Energies are from PBE.

Geometry as POSCAR:
```
KP2Cl
1.0
5.980 -0.018 0.011
1.398 5.814 -0.011
-2.372 -4.575 3.034
Cl K P
1 1 2
Direct
0.521 0.521 0.000
0.256 0.756 0.500
0.933 0.933 0.000
0.790 0.290 0.500
```

Output
* excess energy over the best structure of this formula in the dataset: 0.160 eV/atom
* calculated volume: 105 Å³/f.u.
* DFT total energy: -3.86 eV/atom
* uncorrected formation energy: -0.420 eV/atom

---

Here is a relaxed KP2Cl crystal from Alexandria. Energies are from PBE.

Geometry as POSCAR:
```
KP2Cl
1.0
9.157 0.340 -2.919
8.427 3.600 -2.919
-1.852 -0.415 4.586
Cl K P
1 1 2
Direct
0.750 0.750 0.750
0.250 0.250 0.250
0.968 0.968 0.068
0.532 0.532 0.432
```

Output
* excess energy over the best structure of this formula in the dataset: 0.001 eV/atom
* calculated volume: 120 Å³/f.u.
* DFT total energy: -4.02 eV/atom
* uncorrected formation energy: -0.578 eV/atom

---

Here is a relaxed KP2Cl crystal from Alexandria. Energies are from PBE.

Geometry as POSCAR:
```
KP2Cl
1.0
-1.091 -3.585 8.806
2.157 -3.686 8.564
0.678 -0.937 9.499
Cl K P
1 1 2
Direct
0.250 0.250 0.250
0.750 0.750 0.750
0.988 0.988 0.988
0.512 0.512 0.512
```

Output
* excess energy over the best structure of this formula in the dataset: 1.375 eV/atom
* calculated volume: 86 Å³/f.u.
* DFT total energy: -2.65 eV/atom
* uncorrected formation energy: 0.795 eV/atom

---

Here is a relaxed K2PCl crystal from Alexandria. Energies are from PBE.

Geometry as POSCAR:
```
K2PCl
1.0
-1.186 -8.207 -4.532
1.315 -9.357 -0.113
-2.370 8.457 3.488
Cl K P
1 2 1
Direct
0.200 0.700 0.500
0.064 0.064 0.000
0.791 0.291 0.500
0.445 0.445 0.000
```

Output
* excess energy over the best structure of this formula in the dataset: 0.076 eV/atom
* calculated volume: 123 Å³/f.u.
* DFT total energy: -3.03 eV/atom
* uncorrected formation energy: -0.663 eV/atom

---

Here is a relaxed KP2Cl crystal from Alexandria. Energies are from PBE.

Geometry as POSCAR:
```
KP2Cl
1.0
-0.987 3.646 0.092
-1.056 -0.377 3.607
7.738 2.033 2.478
Cl K P
1 1 2
Direct
0.500 0.000 0.500
0.000 0.500 0.500
0.000 0.000 0.000
0.500 0.500 0.000
```

Output
* excess energy over the best structure of this formula in the dataset: 0.465 eV/atom
* calculated volume: 120 Å³/f.u.
* DFT total energy: -3.56 eV/atom
* uncorrected formation energy: -0.115 eV/atom

---

Here is a relaxed KPCl4 crystal from Alexandria. Energies are from PBE.

Geometry as POSCAR:
```
KPCl4
1.0
7.967 0.000 0.000
0.000 7.967 0.000
-3.983 -3.983 3.451
K P Cl
1 1 4
Direct
0.750 0.250 0.500
0.500 0.500 0.000
0.484 0.828 0.353
0.869 0.525 0.353
0.172 0.131 0.647
0.475 0.516 0.647
```

Output
* excess energy over the best structure of this formula in the dataset: 0.000 eV/atom
* calculated volume: 219 Å³/f.u.
* DFT total energy: -3.21 eV/atom
* uncorrected formation energy: -0.892 eV/atom

---

Here is a relaxed KP2Cl crystal from Alexandria. Energies are from PBE.

Geometry as POSCAR:
```
KP2Cl
1.0
7.360 0.000 0.000
0.000 4.305 -0.003
0.000 0.006 4.328
Cl K P
1 1 2
Direct
0.500 0.250 0.250
0.500 0.750 0.750
0.000 0.104 0.919
0.000 0.396 0.581
```

Output
* excess energy over the best structure of this formula in the dataset: 0.083 eV/atom
* calculated volume: 137 Å³/f.u.
* DFT total energy: -3.94 eV/atom
* uncorrected formation energy: -0.497 eV/atom

---

Here is a relaxed KP2Cl crystal from Alexandria. Energies are from PBE.

Geometry as POSCAR:
```
KP2Cl
1.0
4.946 0.003 0.062
3.793 3.174 0.062
3.009 1.094 7.173
Cl K P
1 1 2
Direct
0.454 0.454 0.468
0.237 0.237 0.283
0.074 0.074 0.916
0.734 0.734 0.832
```

Output
* excess energy over the best structure of this formula in the dataset: 0.064 eV/atom
* calculated volume: 112 Å³/f.u.
* DFT total energy: -3.96 eV/atom
* uncorrected formation energy: -0.515 eV/atom

---

Here is a relaxed KP2Cl crystal from Alexandria. Energies are from PBE.

Geometry as POSCAR:
```
KP2Cl
1.0
3.205 -0.052 0.000
-1.100 3.011 0.000
0.000 0.000 8.969
Cl K P
1 1 2
Direct
0.500 0.500 0.250
0.500 0.500 0.750
0.000 0.000 0.039
0.000 0.000 0.461
```

Output
* excess energy over the best structure of this formula in the dataset: 1.294 eV/atom
* calculated volume: 86 Å³/f.u.
* DFT total energy: -2.73 eV/atom
* uncorrected formation energy: 0.715 eV/atom

---

Here is a relaxed K2PCl crystal from Alexandria. Energies are from PBE.

Geometry as POSCAR:
```
K2PCl
1.0
3.531 0.000 0.000
0.000 3.527 -0.007
0.000 3.546 8.721
Cl K P
1 2 1
Direct
0.500 0.750 0.750
0.000 0.026 0.974
0.000 0.474 0.526
0.500 0.250 0.250
```

Output
* excess energy over the best structure of this formula in the dataset: 0.000 eV/atom
* calculated volume: 109 Å³/f.u.
* DFT total energy: -3.10 eV/atom
* uncorrected formation energy: -0.739 eV/atom

---

Here is a relaxed KPCl2 crystal from Alexandria. Energies are from PBE.

Geometry as POSCAR:
```
KPCl2
1.0
-1.680 2.966 -1.282
-0.097 -1.491 -3.323
-6.621 -3.072 1.572
Cl K P
2 1 1
Direct
0.000 0.000 0.993
0.000 0.000 0.507
0.500 0.500 0.250
0.500 0.500 0.750
```

Output
* excess energy over the best structure of this formula in the dataset: 0.430 eV/atom
* calculated volume: 99 Å³/f.u.
* DFT total energy: -2.76 eV/atom
* uncorrected formation energy: -0.212 eV/atom

---

Here is a relaxed KP2Cl crystal from Alexandria. Energies are from PBE.

Geometry as POSCAR:
```
KP2Cl
1.0
8.860 -0.008 0.000
7.250 5.092 0.000
-8.055 -2.542 2.674
Cl K P
1 1 2
Direct
0.250 0.750 0.500
0.750 0.250 0.500
0.000 0.000 0.000
0.500 0.500 0.000
```

Output
* excess energy over the best structure of this formula in the dataset: 0.477 eV/atom
* calculated volume: 121 Å³/f.u.
* DFT total energy: -3.54 eV/atom
* uncorrected formation energy: -0.103 eV/atom

---

Here is a relaxed KP2Cl crystal from Alexandria. Energies are from PBE.

Geometry as POSCAR:
```
KP2Cl
1.0
-0.168 -2.719 -1.367
0.756 -1.364 2.619
-8.573 -0.568 2.180
Cl K P
1 1 2
Direct
0.500 0.500 0.250
0.500 0.500 0.750
0.000 0.000 0.033
0.000 0.000 0.467
```

Output
* excess energy over the best structure of this formula in the dataset: 1.328 eV/atom
* calculated volume: 82 Å³/f.u.
* DFT total energy: -2.69 eV/atom
* uncorrected formation energy: 0.748 eV/atom

---

Here is a relaxed KP2Cl crystal from Alexandria. Energies are from PBE.

Geometry as POSCAR:
```
KP2Cl
1.0
3.458 0.000 0.000
0.000 3.458 0.000
0.000 0.000 7.978
Cl K P
1 1 2
Direct
0.000 0.000 0.512
0.500 0.500 0.710
0.000 0.000 0.151
0.500 0.500 0.127
```

Output
* excess energy over the best structure of this formula in the dataset: 0.214 eV/atom
* calculated volume: 95 Å³/f.u.
* DFT total energy: -3.81 eV/atom
* uncorrected formation energy: -0.365 eV/atom

---

Here is a relaxed KP2Cl crystal from Alexandria. Energies are from PBE.

Geometry as POSCAR:
```
KP2Cl
1.0
-6.426 1.755 4.942
-6.386 -1.899 4.941
-4.164 -0.049 7.173
Cl K P
1 1 2
Direct
0.505 0.505 0.505
0.755 0.755 0.755
0.977 0.977 0.977
0.263 0.263 0.263
```

Output
* excess energy over the best structure of this formula in the dataset: 0.064 eV/atom
* calculated volume: 93 Å³/f.u.
* DFT total energy: -3.96 eV/atom
* uncorrected formation energy: -0.516 eV/atom

---

Here is a relaxed KPCl2 crystal from Alexandria. Energies are from PBE.

Geometry as POSCAR:
```
KPCl2
1.0
9.010 -0.005 -0.003
8.300 3.505 -0.003
8.300 1.678 3.077
Cl K P
2 1 1
Direct
0.000 0.000 0.000
0.500 0.500 0.500
0.250 0.250 0.250
0.750 0.750 0.750
```

Output
* excess energy over the best structure of this formula in the dataset: 0.475 eV/atom
* calculated volume: 97 Å³/f.u.
* DFT total energy: -2.72 eV/atom
* uncorrected formation energy: -0.167 eV/atom

---

Here is a relaxed K2PCl crystal from Alexandria. Energies are from PBE.

Geometry as POSCAR:
```
K2PCl
1.0
0.000 3.963 3.963
3.963 0.000 3.963
3.963 3.963 0.000
P K Cl
1 2 1
Direct
0.000 0.000 0.000
0.250 0.250 0.250
0.750 0.750 0.750
0.500 0.500 0.500
```

Output
* excess energy over the best structure of this formula in the dataset: 0.200 eV/atom
* calculated volume: 124 Å³/f.u.
* DFT total energy: -2.90 eV/atom
* uncorrected formation energy: -0.539 eV/atom

---

Here is a relaxed KPCl2 crystal from Alexandria. Energies are from PBE.

Geometry as POSCAR:
```
KPCl2
1.0
1.145 -4.380 -2.610
1.106 -4.386 2.615
-3.382 -3.983 -0.031
P K Cl
1 1 2
Direct
0.000 0.000 0.000
0.500 0.500 0.500
0.250 0.250 0.250
0.750 0.750 0.750
```

Output
* excess energy over the best structure of this formula in the dataset: 0.423 eV/atom
* calculated volume: 101 Å³/f.u.
* DFT total energy: -2.77 eV/atom
* uncorrected formation energy: -0.219 eV/atom

---

Here is a relaxed KPCl2 crystal from Alexandria. Energies are from PBE.

Geometry as POSCAR:
```
KPCl2
1.0
6.320 0.305 0.056
1.033 6.243 0.056
1.499 1.335 2.762
Cl K P
2 1 1
Direct
0.000 0.000 0.000
0.500 0.500 0.000
0.500 0.000 0.500
0.000 0.500 0.500
```

Output
* excess energy over the best structure of this formula in the dataset: 0.263 eV/atom
* calculated volume: 107 Å³/f.u.
* DFT total energy: -2.93 eV/atom
* uncorrected formation energy: -0.379 eV/atom

---

Here is a relaxed KPCl2 crystal from Alexandria. Energies are from PBE.

Geometry as POSCAR:
```
KPCl2
1.0
-8.112 -0.585 4.005
-5.668 -1.172 6.978
-6.498 2.453 5.827
P K Cl
1 1 2
Direct
0.000 0.000 0.000
0.500 0.500 0.500
0.911 0.911 0.911
0.089 0.089 0.089
```

Output
* excess energy over the best structure of this formula in the dataset: 0.098 eV/atom
* calculated volume: 115 Å³/f.u.
* DFT total energy: -3.09 eV/atom
* uncorrected formation energy: -0.544 eV/atom

---

Here is a relaxed KP2Cl crystal from Alexandria. Energies are from PBE.

Geometry as POSCAR:
```
KP2Cl
1.0
-1.503 2.537 3.075
-3.892 -1.645 -0.545
0.533 -10.787 12.112
P K Cl
4 2 2
Direct
0.352 0.125 0.250
0.398 0.625 0.250
0.375 0.648 0.750
0.875 0.602 0.750
0.000 0.000 0.000
0.750 0.250 0.500
0.500 0.500 0.000
0.250 0.750 0.500
```

Output
* excess energy over the best structure of this formula in the dataset: 0.251 eV/atom
* calculated volume: 145 Å³/f.u.
* DFT total energy: -3.77 eV/atom
* uncorrected formation energy: -0.329 eV/atom

---

Here is a relaxed KPCl3 crystal from Alexandria. Energies are from PBE.

Geometry as POSCAR:
```
KPCl3
1.0
5.024 0.000 0.000
0.000 5.024 0.000
0.000 0.000 5.024
P K Cl
1 1 3
Direct
0.000 0.000 0.000
0.500 0.500 0.500
0.000 0.500 0.000
0.000 0.000 0.500
0.500 0.000 0.000
```

Output
* excess energy over the best structure of this formula in the dataset: 0.232 eV/atom
* calculated volume: 127 Å³/f.u.
* DFT total energy: -3.25 eV/atom
* uncorrected formation energy: -0.839 eV/atom

---

Here is a relaxed KPCl2 crystal from Alexandria. Energies are from PBE.

Geometry as POSCAR:
```
KPCl2
1.0
3.781 -0.876 4.879
5.060 -3.411 1.277
5.986 1.080 1.366
P K Cl
1 1 2
Direct
0.500 0.500 0.500
0.000 0.000 0.000
0.775 0.775 0.775
0.225 0.225 0.225
```

Output
* excess energy over the best structure of this formula in the dataset: 0.287 eV/atom
* calculated volume: 103 Å³/f.u.
* DFT total energy: -2.91 eV/atom
* uncorrected formation energy: -0.355 eV/atom

---

Here is a relaxed KP2Cl crystal from Alexandria. Energies are from PBE.

Geometry as POSCAR:
```
KP2Cl
1.0
-3.838 -1.255 -6.428
4.963 -3.442 4.598
-2.086 -1.066 1.454
Cl K P
1 1 2
Direct
0.500 0.000 0.500
0.000 0.500 0.500
0.000 0.000 0.000
0.500 0.500 0.000
```

Output
* excess energy over the best structure of this formula in the dataset: 0.756 eV/atom
* calculated volume: 102 Å³/f.u.
* DFT total energy: -3.27 eV/atom
* uncorrected formation energy: 0.176 eV/atom

---

Here is a relaxed KPCl2 crystal from Alexandria. Energies are from PBE.

Geometry as POSCAR:
```
KPCl2
1.0
7.970 -0.012 0.000
5.909 5.349 0.000
-6.940 -2.668 2.872
Cl K P
2 1 1
Direct
0.000 0.000 0.000
0.250 0.750 0.500
0.500 0.500 0.000
0.750 0.250 0.500
```

Output
* excess energy over the best structure of this formula in the dataset: 0.302 eV/atom
* calculated volume: 123 Å³/f.u.
* DFT total energy: -2.89 eV/atom
* uncorrected formation energy: -0.340 eV/atom

---

Here is a relaxed KPCl2 crystal from Alexandria. Energies are from PBE.

Geometry as POSCAR:
```
KPCl2
1.0
-6.921 0.826 -0.566
-6.119 -3.334 0.581
-5.988 -0.159 3.608
Cl K P
2 1 1
Direct
0.051 0.051 0.051
0.257 0.257 0.257
0.506 0.506 0.506
0.685 0.685 0.685
```

Output
* excess energy over the best structure of this formula in the dataset: 0.281 eV/atom
* calculated volume: 109 Å³/f.u.
* DFT total energy: -2.91 eV/atom
* uncorrected formation energy: -0.360 eV/atom

---

Here is a relaxed KPCl2 crystal from Alexandria. Energies are from PBE.

Geometry as POSCAR:
```
KPCl2
1.0
-1.450 -5.359 1.301
4.951 -1.858 -2.132
5.113 -2.795 6.684
P K Cl
2 2 4
Direct
0.500 0.500 0.000
0.250 0.750 0.500
0.000 0.000 0.000
0.750 0.250 0.500
0.523 0.125 0.250
0.227 0.625 0.250
0.375 0.477 0.750
0.875 0.773 0.750
```

Output
* excess energy over the best structure of this formula in the dataset: 0.187 eV/atom
* calculated volume: 128 Å³/f.u.
* DFT total energy: -3.01 eV/atom
* uncorrected formation energy: -0.455 eV/atom